The following is a DFT calculation (GGA-PBE) of NaP2S2 after structural relaxation.

a b c (Å): 3.461 3.461 18.204
angles (deg): 90.00 90.00 90.00
Space group I4/mmm (No. 139)
Symmetry-distinct sites (fractional):
Na  0.000  0.000  0.000 [2 per cell]
P  0.000  0.500  0.250 [4 per cell]
S  0.000  0.000  0.444 [4 per cell]

Calculated values
- E_form (uncorrected) (eV per atom) = 0.099
- density (g/cm³) = 2.270
- magnetization (μB/f.u.) = 0.00
- polymorph energy (0 for the lowest one) (kJ/mol of atoms) = 14.8


The following is a DFT calculation (GGA-PBE) of SbPd6Pt2 after structural relaxation.

a b c (Å): 12.847 9.567 4.805
angles (deg): 90.00 99.45 90.00
Space group C2/c (No. 15)
Symmetry-distinct sites (fractional):
Sb  0.000  0.141  0.250 [4 per cell]
Pd  0.056  0.376  0.531 [8 per cell]
Pd  0.111  0.122  0.812 [8 per cell]
Pd  0.223  0.128  0.360 [8 per cell]
Pt  0.169  0.378  0.083 [8 per cell]

Calculated values
- E_form (uncorrected) (eV per atom) = -0.125
- density (g/cm³) = 13.118
- magnetization (μB/f.u.) = 0.00
- polymorph energy (0 for the lowest one) (kJ/mol of atoms) = 0.8


The following is a DFT calculation (GGA-PBE) of LiCa2Pu after structural relaxation.

a b c (Å): 3.595 3.595 9.972
angles (deg): 90.00 90.00 90.00
Space group P4/mmm (No. 123)
Symmetry-distinct sites (fractional):
Li  0.000  0.000  0.000 [1 per cell]
Ca  0.500  0.500  0.230 [2 per cell]
Pu  0.000  0.000  0.500 [1 per cell]

Calculated values
- energy relative to the elements (eV/atom) = 0.21
- density (g/cm³) = 4.266
- magnetization (μB/f.u.) = 7.17
- polymorph energy (0 for the lowest one) (kJ/mol of atoms) = 0.0


The following is a DFT calculation (GGA-PBE) of Tb2Pm8Pb after structural relaxation.

a b c (Å): 18.415 5.024 8.104
angles (deg): 90.00 105.47 90.00
Space group C2/m (No. 12)
Symmetry-distinct sites (fractional):
Tb  0.224  0.000  0.133 [4 per cell]
Pm  0.044  0.000  0.228 [4 per cell]
Pm  0.091  0.500  0.943 [4 per cell]
Pm  0.137  0.000  0.680 [4 per cell]
Pm  0.179  0.500  0.407 [4 per cell]
Pb  0.000  0.500  0.500 [2 per cell]

Calculated values
- energy relative to the elements (eV/atom) = -0.08
- density (g/cm³) = 7.745
- magnetization (μB/f.u.) = 0.00


The following is a DFT calculation (GGA-PBE) of Nd12Ho5Sc2 after structural relaxation.

a b c (Å): 19.256 7.440 9.961
angles (deg): 90.00 117.40 90.00
Space group C2/m (No. 12)
Symmetry-distinct sites (fractional):
Nd  0.002  0.000  0.201 [4 per cell]
Nd  0.008  0.500  0.323 [4 per cell]
Nd  0.161  0.248  0.847 [8 per cell]
Nd  0.165  0.238  0.498 [8 per cell]
Ho  0.000  0.000  0.500 [2 per cell]
Ho  0.173  0.000  0.170 [4 per cell]
Ho  0.175  0.500  0.189 [4 per cell]
Sc  0.000  0.306  0.000 [4 per cell]

Calculated values
- energy relative to the elements (eV/atom) = 0.16
- density (g/cm³) = 6.934
- magnetization (μB/f.u.) = 0.00


The following is a DFT calculation (GGA-PBE) of Mg2SiAu after structural relaxation.

a b c (Å): 4.735 4.735 3.206
angles (deg): 90.00 90.00 90.00
Space group P4/mmm (No. 123)
Symmetry-distinct sites (fractional):
Mg  0.000  0.500  0.000 [2 per cell]
Si  0.000  0.000  0.500 [1 per cell]
Au  0.500  0.500  0.500 [1 per cell]

Calculated values
- E_form (uncorrected) (eV per atom) = -0.243
- density (g/cm³) = 6.324
- magnetization (μB/f.u.) = 0.00


The following is a DFT calculation (GGA-PBE) of YBe2Rh2 after structural relaxation.

a b c (Å): 6.830 6.830 2.982
angles (deg): 90.00 90.00 90.00
Space group P4/mbm (No. 127)
Symmetry-distinct sites (fractional):
Y  0.000  0.000  0.000 [2 per cell]
Be  0.113  0.387  0.000 [4 per cell]
Rh  0.164  0.664  0.500 [4 per cell]

Calculated values
- energy relative to the elements (eV/atom) = -0.55
- density (g/cm³) = 7.465
- magnetization (μB/f.u.) = 0.00
- polymorph energy (0 for the lowest one) (kJ/mol of atoms) = 11.3


The following is a DFT calculation (GGA-PBE) of Be2PdAu2 after structural relaxation.

a b c (Å): 8.317 5.798 5.851
angles (deg): 90.00 90.00 90.00
Space group Pbcm (No. 57)
Symmetry-distinct sites (fractional):
Be  0.002  0.003  0.250 [4 per cell]
Be  0.335  0.008  0.750 [4 per cell]
Pd  0.164  0.250  0.000 [4 per cell]
Au  0.170  0.750  0.000 [4 per cell]
Au  0.496  0.250  0.000 [4 per cell]

Calculated values
- energy relative to the elements (eV/atom) = -0.25
- density (g/cm³) = 12.205
- magnetization (μB/f.u.) = 0.00
- polymorph energy (0 for the lowest one) (kJ/mol of atoms) = 0.0


The following is a DFT calculation (GGA-PBE) of ZrBiCl2 after structural relaxation.

a b c (Å): 3.186 7.310 7.324
angles (deg): 117.04 93.85 98.65
Space group P1 (No. 1)
Symmetry-distinct sites (fractional):
Zr  0.000  0.000  0.000 [1 per cell]
Bi  0.676  0.354  0.354 [1 per cell]
Cl  0.409  0.731  0.011 [1 per cell]
Cl  0.465  0.017  0.737 [1 per cell]

Calculated values
- E_form (uncorrected) (eV per atom) = -1.065
- density (g/cm³) = 4.152
- magnetization (μB/f.u.) = 0.00
- polymorph energy (0 for the lowest one) (kJ/mol of atoms) = 13.5


The following is a DFT calculation (GGA-PBE) of CeEr2Tl after structural relaxation.

a b c (Å): 3.545 3.545 9.020
angles (deg): 90.00 90.00 90.00
Space group P4/mmm (No. 123)
Symmetry-distinct sites (fractional):
Ce  0.000  0.000  0.000 [1 per cell]
Er  0.500  0.500  0.264 [2 per cell]
Tl  0.000  0.000  0.500 [1 per cell]

Calculated values
- energy relative to the elements (eV/atom) = -0.14
- density (g/cm³) = 9.947
- magnetization (μB/f.u.) = 0.36
- polymorph energy (0 for the lowest one) (kJ/mol of atoms) = 0.0


The following is a DFT calculation (GGA-PBE) of CrCdIn2 after structural relaxation.

a b c (Å): 7.121 7.121 7.121
angles (deg): 90.00 90.00 90.00
Space group F-43m (No. 216)
Symmetry-distinct sites (fractional):
Cr  0.000  0.000  0.000 [4 per cell]
Cd  0.250  0.250  0.750 [4 per cell]
In  0.000  0.000  0.500 [4 per cell]
In  0.250  0.250  0.250 [4 per cell]

Calculated values
- energy relative to the elements (eV/atom) = 0.33
- density (g/cm³) = 7.249
- magnetization (μB/f.u.) = 4.30


The following is a DFT calculation (GGA-PBE) of LaSiS2N after structural relaxation.

a b c (Å): 5.546 5.546 4.285
angles (deg): 90.00 90.00 90.00
Space group P4/mmm (No. 123)
Symmetry-distinct sites (fractional):
La  0.000  0.000  0.000 [1 per cell]
Si  0.500  0.500  0.500 [1 per cell]
S  0.000  0.500  0.000 [2 per cell]
N  0.000  0.000  0.500 [1 per cell]

Calculated values
- E_form (uncorrected) (eV per atom) = 0.547
- density (g/cm³) = 3.088
- magnetization (μB/f.u.) = 1.19
- polymorph energy (0 for the lowest one) (kJ/mol of atoms) = 139.9


Q: What is the formula in the eleventh record?
A: CrCdIn2